1.
VASP calculation (PBE) on a relaxed Rb2SiAs2 crystal.

The structure in POSCAR format:
```
Rb2SiAs2
1.0
7.1162 0.0000 0.0000
0.0000 7.1162 0.0000
0.0000 0.0000 5.6913
Rb Si As
4 2 4
Direct
0.1811 0.3189 0.0000
0.3189 0.8189 0.0000
0.6811 0.1811 0.0000
0.8189 0.6811 0.0000
0.0000 0.0000 0.5000
0.5000 0.5000 0.5000
0.1241 0.6241 0.5000
0.3759 0.1241 0.5000
0.6241 0.8759 0.5000
0.8759 0.3759 0.5000
```

Computed properties:
Total magnetic moment (μB per cell): 0.0
E_form (uncorrected) (eV per atom): -0.04
Volume (Å³ per cell): 288.2
DOS(E_F) (states/eV/atom): 0.53
Offset from the most stable computed form (eV per formula unit): 2.03

***

2.
VASP calculation (PBE) on a relaxed Mn2InSn2 crystal.

The structure in POSCAR format:
```
Mn2InSn2
1.0
4.1361 0.0000 0.0000
0.0000 4.1361 0.0000
0.0000 0.0000 12.8688
Mn In Sn
4 2 4
Direct
0.0000 0.0000 0.0984
0.0000 0.0000 0.9016
0.5000 0.5000 0.4016
0.5000 0.5000 0.5984
0.0000 0.0000 0.5000
0.5000 0.5000 0.0000
0.0000 0.5000 0.2500
0.0000 0.5000 0.7500
0.5000 0.0000 0.2500
0.5000 0.0000 0.7500
```

Computed properties:
Total magnetic moment (μB per cell): 13.2
ΔH_f (0 K) (meV/atom): 385
Volume (Å³ per cell): 220.2
DOS(E_F) (states/eV/atom): 0.81

***

3.
VASP calculation (PBE) on a relaxed BaNiSe crystal.

The structure in POSCAR format:
```
BaNiSe
1.0
4.5936 0.0000 0.0000
1.9833 4.1451 0.0000
2.1607 1.3594 8.8057
Ba Ni Se
2 2 2
Direct
0.0000 0.0000 0.0000
0.1699 0.1698 0.4398
0.0805 0.5828 0.7051
0.5810 0.0810 0.7055
0.5697 0.5693 0.7385
0.5889 0.5886 0.2170
```

Computed properties:
Total magnetic moment (μB per cell): 0.0
E_form (uncorrected) (eV per atom): -0.96
Volume (Å³ per cell): 167.7
DOS(E_F) (states/eV/atom): 0.18

***

4.
VASP calculation (PBE) on a relaxed CsZr3Ag crystal.

The structure in POSCAR format:
```
CsZr3Ag
1.0
5.2590 0.0000 0.0000
0.0000 5.2590 0.0000
0.0000 0.0000 5.2590
Cs Zr Ag
1 3 1
Direct
0.0000 0.0000 0.0000
0.0000 0.0000 0.5000
0.0000 0.5000 0.0000
0.5000 0.0000 0.0000
0.5000 0.5000 0.5000
```

Computed properties:
Total magnetic moment (μB per cell): 2.2
ΔH_f (0 K) (meV/atom): 2026
Volume (Å³ per cell): 145.4
DOS(E_F) (states/eV/atom): 1.74
Offset from the most stable computed form (eV per formula unit): 4.31